A geometry-optimized CrOsBr2 structure. Source: Alexandria via LeMat-Bulk, functional GGA-PBE.

The structure in POSCAR format:
```
CrOsBr2
1.0
1.722 0.994 9.038
-1.722 0.994 9.038
0.000 -1.989 9.038
Cr Os Br
1 1 2
direct
0.000 0.000 0.000
0.286 0.286 0.286
0.546 0.546 0.546
0.733 0.733 0.733
```

- Space group: R3m, No. 160
- E_tot: -5.83 eV per atom

A geometry-optimized CrOs2Br structure. Source: Alexandria via LeMat-Bulk, functional GGA-PBE.

The structure in POSCAR format:
```
CrOs2Br
1.0
2.988 -3.443 0.000
2.988 3.443 0.000
0.000 0.000 2.923
Cr Os Br
1 2 1
direct
0.000 0.000 0.000
0.000 0.500 0.500
0.500 0.000 0.500
0.500 0.500 0.000
```

- Space group: Cmmm, No. 65
- E_tot: -7.21 eV per atom

A geometry-optimized CrOsBr2 structure. Source: Alexandria via LeMat-Bulk, functional GGA-PBE.

The structure in POSCAR format:
```
CrOsBr2
1.0
1.557 0.899 8.208
-1.557 0.899 8.208
0.000 -1.798 8.208
Cr Os Br
1 1 2
direct
0.000 0.000 0.000
0.500 0.500 0.500
0.402 0.402 0.402
0.598 0.598 0.598
```

- Space group: R-3m, No. 166
- E_tot: -5.12 eV per atom

A geometry-optimized CrOs2Br structure. Source: Alexandria via LeMat-Bulk, functional GGA-PBE.

The structure in POSCAR format:
```
CrOs2Br
1.0
-1.450 2.236 4.530
1.450 -2.236 4.530
1.450 2.236 -4.530
Cr Os Br
1 2 1
direct
0.000 0.000 0.000
0.276 0.776 0.500
0.531 0.531 0.000
0.775 0.275 0.500
```

- Space group: Imm2, No. 44
- E_tot: -7.34 eV per atom

A geometry-optimized CrOs2Br structure. Source: Alexandria via LeMat-Bulk, functional GGA-PBE.

The structure in POSCAR format:
```
CrOs2Br
1.0
-2.003 2.003 3.753
2.003 -2.003 3.753
2.003 2.003 -3.753
Cr Os Br
1 2 1
direct
0.000 0.000 0.000
0.250 0.750 0.500
0.750 0.250 0.500
0.500 0.500 0.000
```

- Space group: I4/mmm, No. 139
- E_tot: -7.19 eV per atom

A geometry-optimized CrOs2Br structure. Source: Alexandria via LeMat-Bulk, functional GGA-PBE.

The structure in POSCAR format:
```
CrOs2Br
1.0
1.421 -2.431 0.000
1.421 2.431 0.000
0.000 0.000 9.876
Cr Os Br
1 2 1
direct
0.000 0.000 0.000
0.000 0.000 0.563
0.500 0.500 0.784
0.500 0.500 0.211
```

- Space group: Cmm2, No. 35
- E_tot: -7.48 eV per atom

A geometry-optimized CrOs2Br structure. Source: Alexandria via LeMat-Bulk, functional GGA-PBE.

The structure in POSCAR format:
```
CrOs2Br
1.0
4.290 -1.452 0.000
4.290 1.452 0.000
-0.593 0.000 6.540
Cr Os Br
1 2 1
direct
0.000 0.000 0.000
0.287 0.287 0.802
0.548 0.548 0.687
0.600 0.600 0.295
```

- Space group: Cm, No. 8
- E_tot: -7.71 eV per atom

A geometry-optimized Cr2OsBr structure. Source: Alexandria via LeMat-Bulk, functional GGA-PBE.

The structure in POSCAR format:
```
Cr2OsBr
1.0
-1.456 2.186 4.310
1.456 -2.186 4.310
1.456 2.186 -4.310
Cr Os Br
2 1 1
direct
0.234 0.234 0.000
0.766 0.766 0.000
0.500 0.000 0.500
0.000 0.500 0.500
```

- Space group: Immm, No. 71
- E_tot: -7.05 eV per atom

Polymorph energy (0 for the lowest one)? In order: 0.0; 548.2; 711.4; 417.8; 573.9; 275.8; 47.9; 423.6 meV per atom.
E_form (uncorrected)? In order: 216.7; 1227.2; 928.1; 1096.8; 1252.9; 954.8; 726.8; 982.8 meV/atom.